! PBE K4Ce3CuO8, relaxed; values from VASP
&SYSTEM
  ibrav = 0, nat = 16, ntyp = 4
/
ATOMIC_SPECIES
K 39.10 K.upf
Ce 140.12 Ce.upf
Cu 63.55 Cu.upf
O 16.00 O.upf
CELL_PARAMETERS angstrom
6.217 -3.526 0.000
6.217 3.526 0.000
-4.045 0.000 6.233
ATOMIC_POSITIONS crystal
K 0.000 0.000 0.000
K 0.000 0.500 0.000
K 0.500 0.000 0.000
K 0.500 0.500 0.000
Ce 0.000 0.000 0.500
Ce 0.000 0.500 0.500
Ce 0.500 0.000 0.500
Cu 0.500 0.500 0.500
O 0.209 0.735 0.685
O 0.229 0.229 0.693
O 0.249 0.249 0.303
O 0.265 0.791 0.315
O 0.735 0.209 0.685
O 0.751 0.751 0.697
O 0.771 0.771 0.307
O 0.791 0.265 0.315
! Calculated density in g cm⁻³: 4.67
! Uncorrected formation energy in eV/f.u.: -36.9